1.
Computed, not measured: AsRuSe3 after structural relaxation at the PBE level of DFT.

E above lowest polymorph ... 502 meV/atom
SG ... Pm-3m, No. 221
ρ ... 5.5 Mg/m³

Structure (CIF):
```
data_AsRuSe3
_cell_length_a 4.9819
_cell_length_b 4.9819
_cell_length_c 4.9819
_cell_angle_alpha 90.00
_cell_angle_beta 90.00
_cell_angle_gamma 90.00
_space_group_name_H-M_alt 'P 1'
_space_group_IT_number 1
loop_
_space_group_symop_operation_xyz
'x,y,z'
loop_
_atom_site_label
_atom_site_type_symbol
_atom_site_fract_x
_atom_site_fract_y
_atom_site_fract_z
Ru1 Ru 0.5000 0.5000 0.5000
As1 As 0.0000 0.0000 0.0000
Se1 Se 0.0000 0.5000 0.0000
Se2 Se 0.0000 0.0000 0.5000
Se3 Se 0.5000 0.0000 0.0000
```

---

2.
Computed, not measured: AsRuSe2 after structural relaxation at the PBE level of DFT.

SG ... Imm2, No. 44
ρ ... 7.1 Mg/m³

Structure (CIF):
```
data_AsRuSe2
_cell_length_a 6.3341
_cell_length_b 6.3341
_cell_length_c 6.3341
_cell_angle_alpha 152.15
_cell_angle_beta 138.67
_cell_angle_gamma 50.57
_space_group_name_H-M_alt 'P 1'
_space_group_IT_number 1
loop_
_space_group_symop_operation_xyz
'x,y,z'
loop_
_atom_site_label
_atom_site_type_symbol
_atom_site_fract_x
_atom_site_fract_y
_atom_site_fract_z
Ru1 Ru 0.7606 0.2606 0.5000
As1 As 0.5775 0.5775 0.0000
Se1 Se 0.9356 0.9356 0.0000
Se2 Se 0.2264 0.7264 0.5000
```

---

How do the records compare in energy relative to the elements, uncorrected? In the order shown, they have 1.092; 0.130 eV per atom.
How do the records compare in total magnetization? In the order shown, they have 0.693; 0.000 μB per atom.
How do the records compare in DFT total energy? In the order shown, they have -3.784; -5.094 eV/atom.